Compound: ZrReMo
Source: Alexandria
Functional: PBE-GGA
Structure: optimized geometry

Results
* distance to the lowest polymorph of the same formula: 652 meV/atom
* energy relative to the elements: 0.39 eV per atom

Cell and atoms, written as POSCAR:
```
ZrReMo
1.0
4.419 0.000 0.000
2.209 3.827 0.000
2.209 1.276 3.608
Mo Zr Re
1 1 1
Cartesian
4.419 2.551 1.804 Mo
0.000 0.000 0.000 Zr
2.209 1.276 0.902 Re
```

---

Compound: PuScCo
Source: Alexandria
Functional: PBE-GGA
Structure: optimized geometry

Results
* distance to the lowest polymorph of the same formula: 7 meV/atom
* energy relative to the elements: -0.03 eV per atom

Cell and atoms, written as POSCAR:
```
PuScCo
1.0
-2.207 2.577 -3.535
-2.424 -7.281 -3.795
-3.525 1.733 3.464
Sc Co Pu
4 4 4
Cartesian
-3.430 -1.424 0.690 Sc
-4.725 -1.546 -4.557 Sc
-2.503 -1.315 -2.380 Sc
-5.652 -1.655 -1.486 Sc
-4.123 0.661 -0.877 Co
-4.032 -3.631 -2.989 Co
-5.040 -3.645 -0.049 Co
-3.115 0.675 -3.818 Co
-1.860 1.178 -0.895 Pu
-6.295 -4.148 -2.971 Pu
-5.323 -4.091 -5.970 Pu
-2.832 1.121 2.104 Pu
```

---

Compound: CeYN
Source: Alexandria
Functional: PBE-GGA
Structure: optimized geometry

Results
* distance to the lowest polymorph of the same formula: 522 meV/atom
* E_form (uncorrected): -424.1 meV/atom

Cell and atoms, written as POSCAR:
```
CeYN
1.0
3.096 0.000 0.000
0.000 3.096 0.000
-1.548 -1.548 6.068
Y N Ce
1 1 1
Cartesian
0.000 0.000 3.399 Y
1.548 1.548 2.110 N
0.000 0.000 0.558 Ce
```